ReAgB2: relaxed, PBE-GGA.

Summary:
Magnetization: 0.0 μB per cell
DFT total energy: -5.34 eV per atom
Density: 10.9 Mg/m³

Unit cell a=4.0845 b=4.0845 c=4.0845 alpha=60.00 beta=60.00 gamma=60.00
With the nearest neighbours (Å) after each atom.
Fractional positions:
B1 0.7500 0.7500 0.7500  4 Ag 2.50, 4 B 2.50
B2 0.5000 0.5000 0.5000  4 Re 2.50, 4 B 2.50
Re1 0.2500 0.2500 0.2500  4 B 2.50, 4 Ag 2.50
Ag1 0.0000 0.0000 0.0000  4 B 2.50, 4 Re 2.50

***

AgB4Sb: relaxed, PBE-GGA.

Summary:
Density: 6.4 Mg/m³
E above lowest polymorph: 3 meV/atom

Unit cell a=5.2922 b=5.2922 c=5.2922 alpha=146.06 beta=119.95 gamma=70.79
With the nearest neighbours (Å) after each atom.
Fractional positions:
Ag1 0.5000 0.5000 0.0000  12 B 2.78-2.80, 4 Sb 3.07, 2 Ag 3.09
B1 0.5792 0.2475 0.3316  3 B 1.77-1.78
B2 0.4208 0.7525 0.6684  3 B 1.77-1.78
B3 0.9159 0.2475 0.6684  3 B 1.77-1.78
B4 0.0841 0.7525 0.3316  3 B 1.77-1.78
Sb1 0.0000 0.0000 0.0000  12 B 2.77-2.82, 4 Ag 3.07, 2 Sb 3.09